LaOs2Br: optimized geometry, GGA-PBE. Values from VASP.

```
&SYSTEM
  ibrav = 0, nat = 4, ntyp = 3
/
ATOMIC_SPECIES
Os 190.23 Os.upf
Br 79.90 Br.upf
La 138.91 La.upf
ATOMIC_POSITIONS angstrom
Os -5.100 6.010 2.485
Os 0.582 3.168 1.821
Br -3.052 3.596 1.487
La -1.665 0.724 2.378
CELL_PARAMETERS angstrom
-0.388 5.549 0.727
-5.157 0.985 1.975
4.627 -2.837 1.416
```

Computed properties:
Uncorrected formation energy: 280 meV/atom